Model P:
Below is a geometry-optimized Na3V5Se10 structure, with properties calculated at the GGA-PBE level.

Cell and atoms, written as CIF:
```
data_Na3V5Se10
_symmetry_space_group_name_H-M 'P 1'
_symmetry_Int_Tables_number 1
_cell_length_a 7.010
_cell_length_b 7.238
_cell_length_c 10.074
_cell_angle_alpha 85.72
_cell_angle_beta 71.18
_cell_angle_gamma 66.98
loop_
_symmetry_equiv_pos_as_xyz
'x,y,z'
loop_
_atom_site_label
_atom_site_fract_x
_atom_site_fract_y
_atom_site_fract_z
Na1 0.000 0.000 0.000
Na2 0.135 0.466 0.835
Na3 0.384 0.217 0.320
V1 0.080 0.792 0.320
V2 0.129 0.880 0.613
V3 0.489 0.567 0.082
V4 0.669 0.773 0.643
V5 0.833 0.495 0.389
Se1 0.001 0.115 0.449
Se2 0.077 0.562 0.517
Se3 0.153 0.514 0.141
Se4 0.288 0.045 0.722
Se5 0.356 0.905 0.141
Se6 0.486 0.561 0.588
Se7 0.665 0.525 0.847
Se8 0.689 0.868 0.384
Se9 0.728 0.370 0.201
Se10 0.803 0.925 0.798
```

Fermi-level density of states   0.36 states/eV/atom

=====

Model Q:
Below is a geometry-optimized Na3V5Se10 structure, with properties calculated at the GGA-PBE level.

Cell and atoms, written as CIF:
```
data_Na3V5Se10
_symmetry_space_group_name_H-M 'P 1'
_symmetry_Int_Tables_number 1
_cell_length_a 6.227
_cell_length_b 8.459
_cell_length_c 9.010
_cell_angle_alpha 114.67
_cell_angle_beta 96.73
_cell_angle_gamma 103.06
loop_
_symmetry_equiv_pos_as_xyz
'x,y,z'
loop_
_atom_site_label
_atom_site_fract_x
_atom_site_fract_y
_atom_site_fract_z
Na1 0.000 0.000 0.000
Na2 0.140 0.621 0.635
Na3 0.514 0.372 0.386
V1 0.013 0.295 0.808
V2 0.302 0.713 0.225
V3 0.481 0.088 0.598
V4 0.660 0.519 0.024
V5 0.826 0.886 0.396
Se1 0.023 0.624 0.940
Se2 0.102 0.990 0.680
Se3 0.203 0.008 0.328
Se4 0.294 0.384 0.088
Se5 0.407 0.403 0.731
Se6 0.513 0.770 0.506
Se7 0.612 0.831 0.116
Se8 0.682 0.181 0.898
Se9 0.819 0.219 0.515
Se10 0.920 0.589 0.296
```

Fermi-level density of states   0.39 states/eV/atom

=====

Stability summary - winner: model Q; margin: 153 meV per atom.

=====

Model P:
Below is a geometry-optimized Na2Zn2Se3 structure, with properties calculated at the GGA-PBE level.

Cell and atoms, written as CIF:
```
data_Na2Zn2Se3
_symmetry_space_group_name_H-M 'P 1'
_symmetry_Int_Tables_number 1
_cell_length_a 7.417
_cell_length_b 7.417
_cell_length_c 12.176
_cell_angle_alpha 90.00
_cell_angle_beta 90.00
_cell_angle_gamma 90.00
loop_
_symmetry_equiv_pos_as_xyz
'x,y,z'
loop_
_atom_site_label
_atom_site_fract_x
_atom_site_fract_y
_atom_site_fract_z
Na1 0.059 0.334 0.308
Na2 0.166 0.559 0.058
Na3 0.334 0.059 0.692
Na4 0.441 0.834 0.442
Na5 0.559 0.166 0.942
Na6 0.666 0.941 0.192
Na7 0.834 0.441 0.558
Na8 0.941 0.666 0.808
Zn1 0.028 0.193 0.884
Zn2 0.193 0.028 0.116
Zn3 0.307 0.528 0.634
Zn4 0.472 0.693 0.866
Zn5 0.528 0.307 0.366
Zn6 0.693 0.472 0.134
Zn7 0.807 0.972 0.616
Zn8 0.972 0.807 0.384
Se1 0.078 0.774 0.579
Se2 0.211 0.789 0.250
Se3 0.226 0.922 0.921
Se4 0.274 0.422 0.829
Se5 0.289 0.289 0.500
Se6 0.422 0.274 0.171
Se7 0.578 0.726 0.671
Se8 0.711 0.711 0.000
Se9 0.726 0.578 0.329
Se10 0.774 0.078 0.421
Se11 0.789 0.211 0.750
Se12 0.922 0.226 0.079
```

=====

Model Q:
Below is a geometry-optimized Na2Zn2Se3 structure, with properties calculated at the GGA-PBE level.

Cell and atoms, written as CIF:
```
data_Na2Zn2Se3
_symmetry_space_group_name_H-M 'P 1'
_symmetry_Int_Tables_number 1
_cell_length_a 10.362
_cell_length_b 10.362
_cell_length_c 7.106
_cell_angle_alpha 109.87
_cell_angle_beta 109.87
_cell_angle_gamma 83.17
loop_
_symmetry_equiv_pos_as_xyz
'x,y,z'
loop_
_atom_site_label
_atom_site_fract_x
_atom_site_fract_y
_atom_site_fract_z
Na1 0.069 0.931 0.750
Na2 0.218 0.782 0.250
Na3 0.307 0.475 0.351
Na4 0.475 0.307 0.851
Na5 0.525 0.693 0.149
Na6 0.693 0.525 0.649
Na7 0.782 0.218 0.750
Na8 0.931 0.069 0.250
Zn1 0.048 0.582 0.737
Zn2 0.137 0.294 0.799
Zn3 0.294 0.137 0.299
Zn4 0.418 0.952 0.763
Zn5 0.582 0.048 0.237
Zn6 0.706 0.863 0.701
Zn7 0.863 0.706 0.201
Zn8 0.952 0.418 0.263
Se1 0.079 0.226 0.070
Se2 0.082 0.647 0.448
Se3 0.226 0.079 0.570
Se4 0.270 0.508 0.942
Se5 0.353 0.918 0.052
Se6 0.492 0.730 0.558
Se7 0.508 0.270 0.442
Se8 0.647 0.082 0.948
Se9 0.730 0.492 0.058
Se10 0.774 0.921 0.430
Se11 0.918 0.353 0.552
Se12 0.921 0.774 0.930
```

=====

Stability summary - winner: model Q; margin: 41 meV per atom.

=====

Model P:
Below is a geometry-optimized NaZn2Se2 structure, with properties calculated at the GGA-PBE level.

Cell and atoms, written as CIF:
```
data_NaZn2Se2
_symmetry_space_group_name_H-M 'P 1'
_symmetry_Int_Tables_number 1
_cell_length_a 5.655
_cell_length_b 5.655
_cell_length_c 5.655
_cell_angle_alpha 127.79
_cell_angle_beta 127.79
_cell_angle_gamma 76.96
loop_
_symmetry_equiv_pos_as_xyz
'x,y,z'
loop_
_atom_site_label
_atom_site_fract_x
_atom_site_fract_y
_atom_site_fract_z
Na1 0.000 0.000 0.000
Zn1 0.356 0.356 0.000
Zn2 0.644 0.644 0.000
Se1 0.250 0.750 0.500
Se2 0.750 0.250 0.500
```

Fermi-level density of states   0.44 states/eV/atom

=====

Model Q:
Below is a geometry-optimized NaZn2Se2 structure, with properties calculated at the GGA-PBE level.

Cell and atoms, written as CIF:
```
data_NaZn2Se2
_symmetry_space_group_name_H-M 'P 1'
_symmetry_Int_Tables_number 1
_cell_length_a 7.247
_cell_length_b 7.247
_cell_length_c 7.247
_cell_angle_alpha 144.94
_cell_angle_beta 144.94
_cell_angle_gamma 50.43
loop_
_symmetry_equiv_pos_as_xyz
'x,y,z'
loop_
_atom_site_label
_atom_site_fract_x
_atom_site_fract_y
_atom_site_fract_z
Na1 0.000 0.000 0.000
Zn1 0.250 0.750 0.500
Zn2 0.750 0.250 0.500
Se1 0.357 0.357 0.000
Se2 0.643 0.643 0.000
```

Fermi-level density of states   0.32 states/eV/atom

=====

Stability summary - winner: model Q; margin: 48 meV per atom.

=====

Model P:
Below is a geometry-optimized NaZrSe3 structure, with properties calculated at the GGA-PBE level.

Cell and atoms, written as CIF:
```
data_NaZrSe3
_symmetry_space_group_name_H-M 'P 1'
_symmetry_Int_Tables_number 1
_cell_length_a 5.268
_cell_length_b 5.268
_cell_length_c 5.268
_cell_angle_alpha 90.00
_cell_angle_beta 90.00
_cell_angle_gamma 90.00
loop_
_symmetry_equiv_pos_as_xyz
'x,y,z'
loop_
_atom_site_label
_atom_site_fract_x
_atom_site_fract_y
_atom_site_fract_z
Na1 0.000 0.000 0.000
Zr1 0.500 0.500 0.500
Se1 0.000 0.500 0.500
Se2 0.500 0.000 0.500
Se3 0.500 0.500 0.000
```

Fermi-level density of states   0.49 states/eV/atom

=====

Model Q:
Below is a geometry-optimized NaZrSe3 structure, with properties calculated at the GGA-PBE level.

Cell and atoms, written as CIF:
```
data_NaZrSe3
_symmetry_space_group_name_H-M 'P 1'
_symmetry_Int_Tables_number 1
_cell_length_a 4.963
_cell_length_b 4.963
_cell_length_c 4.963
_cell_angle_alpha 90.00
_cell_angle_beta 90.00
_cell_angle_gamma 90.00
loop_
_symmetry_equiv_pos_as_xyz
'x,y,z'
loop_
_atom_site_label
_atom_site_fract_x
_atom_site_fract_y
_atom_site_fract_z
Na1 0.000 0.000 0.000
Zr1 0.500 0.500 0.500
Se1 0.000 0.000 0.500
Se2 0.000 0.500 0.000
Se3 0.500 0.000 0.000
```

Fermi-level density of states   0.86 states/eV/atom

=====

Model R:
Below is a geometry-optimized NaZrSe3 structure, with properties calculated at the GGA-PBE level.

Cell and atoms, written as CIF:
```
data_NaZrSe3
_symmetry_space_group_name_H-M 'P 1'
_symmetry_Int_Tables_number 1
_cell_length_a 7.720
_cell_length_b 7.720
_cell_length_c 7.747
_cell_angle_alpha 101.74
_cell_angle_beta 101.74
_cell_angle_gamma 39.98
loop_
_symmetry_equiv_pos_as_xyz
'x,y,z'
loop_
_atom_site_label
_atom_site_fract_x
_atom_site_fract_y
_atom_site_fract_z
Na1 0.137 0.137 0.354
Na2 0.863 0.863 0.646
Zr1 0.350 0.350 0.123
Zr2 0.650 0.650 0.877
Se1 0.166 0.166 0.956
Se2 0.350 0.350 0.442
Se3 0.461 0.461 0.839
Se4 0.539 0.539 0.161
Se5 0.650 0.650 0.558
Se6 0.834 0.834 0.044
```

=====

Stability summary - winner: model R; margin: 156 meV per atom.